This record from Alexandria via LeMat-Bulk describes YHg3 after structural relaxation. The functional is PBE.

Summary:
E_form in eV/atom: -0.30

a b c (Å): 4.3897 4.9152 9.0829
angles (deg): 90.00 90.00 90.00
Closest atoms and distances in Å follow each position.
Space group Immm (No. 71)
One atom of each set of equivalent atoms:
Y 0.0000 0.0000 0.0000  12 Hg 3.20-3.31
Hg 0.0000 0.0000 0.5000  8 Hg 3.12-3.38, 4 Y 3.30
Hg 0.0000 0.5000 0.2442  8 Hg 3.12-3.38, 4 Y 3.20-3.31

---

This record from Alexandria via LeMat-Bulk describes TaNi2Ru after structural relaxation. The functional is PBE.

Summary:
E_form in eV/atom: -0.08
Distance to the lowest polymorph of the same formula in eV/f.u.: 0.968

a b c (Å): 8.7240 2.7327 4.5980
angles (deg): 90.00 100.03 90.00
Closest atoms and distances in Å follow each position.
Space group Cm (No. 8)
One atom of each set of equivalent atoms:
Ta 0.0000 0.0000 0.0000  7 Ni 2.62-2.73, 3 Ru 2.62-2.79, 2 Ta 2.73
Ni 0.2497 0.5000 0.2522  4 Ru 2.56-2.80, 5 Ni 2.59-2.73, 3 Ta 2.65-2.66
Ni 0.4924 0.0000 0.4833  5 Ni 2.59-2.73, 3 Ru 2.60-2.64, 4 Ta 2.62-2.73
Ru 0.2363 0.0000 0.7178  7 Ni 2.56-2.80, 3 Ta 2.62-2.79, 2 Ru 2.73

---

This record from Alexandria via LeMat-Bulk describes CeTl2Pb after structural relaxation. The functional is PBE.

Summary:
E_form in eV/atom: -0.09
Distance to the lowest polymorph of the same formula in eV/f.u.: 0.807

a b c (Å): 4.0424 4.0424 7.2571
angles (deg): 90.00 90.00 90.00
Closest atoms and distances in Å follow each position.
Space group P4/mmm (No. 123)
One atom of each set of equivalent atoms:
Ce 0.0000 0.0000 0.0000  8 Tl 3.43, 2 Pb 3.63
Tl 0.5000 0.5000 0.2605  4 Pb 3.35, 4 Ce 3.43, 1 Tl 3.48
Pb 0.0000 0.0000 0.5000  8 Tl 3.35, 2 Ce 3.63

---

Question: Among the records above, which one has the highest E_form?
Answer: TaNi2Ru

---

Question: E_form of number 2 (TaNi2Ru)?
Answer: -0.08 eV/atom

---

Question: What is the E_form in the first record?
Answer: -0.30 eV/atom

---

Question: The highest E_form belongs to which entry?
Answer: TaNi2Ru